The following is a DFT calculation (PBE-GGA) of crystalline AcErMgGa at its relaxed geometry.

It has space group F-43m (No. 216), with a = 7.670 Å, b = 7.670 Å, c = 7.670 Å, α = 90.00°, β = 90.00° and γ = 90.00°. The asymmetric unit holds Ac at (0.000, 0.000, 0.000), Er at (0.000, 0.000, 0.500), Mg at (0.250, 0.250, 0.250) and Ga at (0.250, 0.250, 0.750).

The electronic total energy is -3.57 eV/atom. As for the energy relative to the elements: -0.2435 eV per atom. The density of states at the Fermi level comes out at 3.21 states/eV/f.u.